Record 1
Below is an optimized crystal structure of Tc2WSe, with properties calculated at the GGA-PBE level.

Structure (CIF):
```
data_Tc2WSe
_cell_length_a 3.002
_cell_length_b 4.458
_cell_length_c 9.019
_cell_angle_alpha 90.00
_cell_angle_beta 90.00
_cell_angle_gamma 90.00
_space_group_name_H-M_alt 'I m m 2'
_space_group_IT_number 44
loop_
_space_group_symop_operation_xyz
'x,y,z'
'-x,-y,z'
'-x,y,z'
'x,-y,z'
'x+1/2,y+1/2,z+1/2'
'-x+1/2,-y+1/2,z+1/2'
'-x+1/2,y+1/2,z+1/2'
'x+1/2,-y+1/2,z+1/2'
loop_
_atom_site_label
_atom_site_fract_x
_atom_site_fract_y
_atom_site_fract_z
Tc1 0.000 0.000 0.000
Tc2 0.000 0.500 0.233
W1 0.000 0.500 0.779
Se1 0.000 0.000 0.509
```

=====

Record 2
Below is an optimized crystal structure of TcWSe2, with properties calculated at the GGA-PBE level.

Structure (CIF):
```
data_TcWSe2
_cell_length_a 4.062
_cell_length_b 4.062
_cell_length_c 7.907
_cell_angle_alpha 90.00
_cell_angle_beta 90.00
_cell_angle_gamma 90.00
_space_group_name_H-M_alt 'I -4 m 2'
_space_group_IT_number 119
_space_group_name_Hall 'I -4 -2'
loop_
_atom_site_label
_atom_site_fract_x
_atom_site_fract_y
_atom_site_fract_z
Tc1 0.000 0.000 0.000
W1 0.000 0.500 0.750
Se1 0.000 0.000 0.500
Se2 0.000 0.500 0.250
```

Computed properties:
Offset from the most stable computed form in meV per atom: 713.0

=====

Record 3
Below is an optimized crystal structure of TcW2Se, with properties calculated at the GGA-PBE level.

Structure (CIF):
```
data_TcW2Se
_cell_length_a 3.052
_cell_length_b 4.694
_cell_length_c 9.131
_cell_angle_alpha 90.00
_cell_angle_beta 90.00
_cell_angle_gamma 90.00
_space_group_name_H-M_alt 'C m m m'
_space_group_IT_number 65
_space_group_name_Hall '-C 2 2'
loop_
_atom_site_label
_atom_site_fract_x
_atom_site_fract_y
_atom_site_fract_z
Tc1 0.000 0.000 0.000
W1 0.000 0.500 0.238
Se1 0.000 0.000 0.500
```

=====

Record 4
Below is an optimized crystal structure of TcW2Se, with properties calculated at the GGA-PBE level.

Structure (CIF):
```
data_TcW2Se
_cell_length_a 2.987
_cell_length_b 2.987
_cell_length_c 6.959
_cell_angle_alpha 90.00
_cell_angle_beta 90.00
_cell_angle_gamma 90.00
_space_group_name_H-M_alt 'P 4/m m m'
_space_group_IT_number 123
_space_group_name_Hall '-P 4 2'
loop_
_atom_site_label
_atom_site_fract_x
_atom_site_fract_y
_atom_site_fract_z
Tc1 0.000 0.000 0.000
W1 0.500 0.500 0.252
Se1 0.000 0.000 0.500
```

=====

Record 5
Below is an optimized crystal structure of TcW2Se, with properties calculated at the GGA-PBE level.

Structure (CIF):
```
data_TcW2Se
_cell_length_a 3.075
_cell_length_b 4.510
_cell_length_c 4.541
_cell_angle_alpha 90.00
_cell_angle_beta 90.00
_cell_angle_gamma 90.00
_space_group_name_H-M_alt 'P m m m'
_space_group_IT_number 47
loop_
_space_group_symop_operation_xyz
'x,y,z'
'-x,-y,-z'
'-x,-y,z'
'x,y,-z'
'x,-y,-z'
'-x,y,z'
'-x,y,-z'
'x,-y,z'
loop_
_atom_site_label
_atom_site_fract_x
_atom_site_fract_y
_atom_site_fract_z
Tc1 0.000 0.000 0.000
W1 0.000 0.500 0.500
W2 0.500 0.000 0.500
Se1 0.500 0.500 0.000
```

=====

Record 6
Below is an optimized crystal structure of Tc2WSe, with properties calculated at the GGA-PBE level.

Structure (CIF):
```
data_Tc2WSe
_cell_length_a 3.745
_cell_length_b 3.745
_cell_length_c 8.761
_cell_angle_alpha 90.00
_cell_angle_beta 90.00
_cell_angle_gamma 90.00
_space_group_name_H-M_alt 'I -4 m 2'
_space_group_IT_number 119
_space_group_name_Hall 'I -4 -2'
loop_
_atom_site_label
_atom_site_fract_x
_atom_site_fract_y
_atom_site_fract_z
Tc1 0.000 0.000 0.000
Tc2 0.000 0.500 0.250
W1 0.000 0.500 0.750
Se1 0.000 0.000 0.500
```

=====

Record 7
Below is an optimized crystal structure of TcW2Se, with properties calculated at the GGA-PBE level.

Structure (CIF):
```
data_TcW2Se
_cell_length_a 2.9737
_cell_length_b 2.9737
_cell_length_c 25.6199
_cell_angle_alpha 90.00
_cell_angle_beta 90.00
_cell_angle_gamma 120.00
_space_group_name_H-M_alt 'R 3 m'
_space_group_IT_number 160
_space_group_name_Hall 'R 3 -2"'
loop_
_atom_site_label
_atom_site_fract_x
_atom_site_fract_y
_atom_site_fract_z
Tc1 0.0000 0.0000 0.0000
W1 0.0000 0.0000 0.2563
W2 0.0000 0.0000 0.5000
Se1 0.0000 0.0000 0.7580
```

=====

Record 8
Below is an optimized crystal structure of Tc2WSe, with properties calculated at the GGA-PBE level.

Structure (CIF):
```
data_Tc2WSe
_cell_length_a 2.924
_cell_length_b 4.102
_cell_length_c 5.180
_cell_angle_alpha 90.00
_cell_angle_beta 90.00
_cell_angle_gamma 90.00
_space_group_name_H-M_alt 'P m m 2'
_space_group_IT_number 25
loop_
_space_group_symop_operation_xyz
'x,y,z'
'-x,-y,z'
'-x,y,z'
'x,-y,z'
loop_
_atom_site_label
_atom_site_fract_x
_atom_site_fract_y
_atom_site_fract_z
Tc1 0.000 0.000 0.000
Tc2 0.500 0.500 0.278
W1 0.000 0.000 0.491
Se1 0.500 0.500 0.783
```

=====

Record 9
Below is an optimized crystal structure of Tc2WSe, with properties calculated at the GGA-PBE level.

Structure (CIF):
```
data_Tc2WSe
_cell_length_a 9.494
_cell_length_b 2.980
_cell_length_c 4.454
_cell_angle_alpha 90.00
_cell_angle_beta 94.17
_cell_angle_gamma 90.00
_space_group_name_H-M_alt 'C 1 m 1'
_space_group_IT_number 8
loop_
_space_group_symop_operation_xyz
'x,y,z'
'x,-y,z'
'x+1/2,y+1/2,z'
'x+1/2,-y+1/2,z'
loop_
_atom_site_label
_atom_site_fract_x
_atom_site_fract_y
_atom_site_fract_z
Tc1 0.000 0.000 0.000
Tc2 0.230 0.500 0.219
W1 0.268 0.000 0.757
Se1 0.497 0.000 0.469
```

=====

Record 10
Below is an optimized crystal structure of Tc2WSe, with properties calculated at the GGA-PBE level.

Structure (CIF):
```
data_Tc2WSe
_cell_length_a 3.029
_cell_length_b 4.688
_cell_length_c 8.972
_cell_angle_alpha 90.00
_cell_angle_beta 90.00
_cell_angle_gamma 90.00
_space_group_name_H-M_alt 'C m m 2'
_space_group_IT_number 35
loop_
_space_group_symop_operation_xyz
'x,y,z'
'-x,-y,z'
'-x,y,z'
'x,-y,z'
'x+1/2,y+1/2,z'
'-x+1/2,-y+1/2,z'
'-x+1/2,y+1/2,z'
'x+1/2,-y+1/2,z'
loop_
_atom_site_label
_atom_site_fract_x
_atom_site_fract_y
_atom_site_fract_z
Tc1 0.000 0.000 0.000
Tc2 0.000 0.500 0.239
W1 0.000 0.000 0.481
Se1 0.000 0.500 0.745
```

=====

Record 11
Below is an optimized crystal structure of TcWSe2, with properties calculated at the GGA-PBE level.

Structure (CIF):
```
data_TcWSe2
_cell_length_a 3.0919
_cell_length_b 3.0919
_cell_length_c 29.5204
_cell_angle_alpha 90.00
_cell_angle_beta 90.00
_cell_angle_gamma 120.00
_space_group_name_H-M_alt 'R 3 m'
_space_group_IT_number 160
_space_group_name_Hall 'R 3 -2"'
loop_
_atom_site_label
_atom_site_fract_x
_atom_site_fract_y
_atom_site_fract_z
Tc1 0.0000 0.0000 0.0000
W1 0.0000 0.0000 0.2552
Se1 0.0000 0.0000 0.5282
Se2 0.0000 0.0000 0.7232
```

Computed properties:
Offset from the most stable computed form in meV per atom: 2.8

=====

Record 12
Below is an optimized crystal structure of Tc2WSe6, with properties calculated at the GGA-PBE level.

Structure (CIF):
```
data_Tc2WSe6
_cell_length_a 13.966
_cell_length_b 3.282
_cell_length_c 10.527
_cell_angle_alpha 90.00
_cell_angle_beta 119.68
_cell_angle_gamma 90.00
_space_group_name_H-M_alt 'C 1 2/m 1'
_space_group_IT_number 12
loop_
_space_group_symop_operation_xyz
'x,y,z'
'-x,-y,-z'
'-x,y,-z'
'x,-y,z'
'x+1/2,y+1/2,z'
'-x+1/2,-y+1/2,-z'
'-x+1/2,y+1/2,-z'
'x+1/2,-y+1/2,z'
loop_
_atom_site_label
_atom_site_fract_x
_atom_site_fract_y
_atom_site_fract_z
Tc1 0.191 0.000 0.373
W1 0.000 0.500 0.000
Se1 0.021 0.500 0.252
Se2 0.162 0.000 0.105
Se3 0.163 0.000 0.584
```

=====

Record 13
Below is an optimized crystal structure of TcWSe2, with properties calculated at the GGA-PBE level.

Structure (CIF):
```
data_TcWSe2
_cell_length_a 5.223
_cell_length_b 8.623
_cell_length_c 3.977
_cell_angle_alpha 90.00
_cell_angle_beta 129.19
_cell_angle_gamma 90.00
_space_group_name_H-M_alt 'C 1 2/m 1'
_space_group_IT_number 12
loop_
_space_group_symop_operation_xyz
'x,y,z'
'-x,-y,-z'
'-x,y,-z'
'x,-y,z'
'x+1/2,y+1/2,z'
'-x+1/2,-y+1/2,-z'
'-x+1/2,y+1/2,-z'
'x+1/2,-y+1/2,z'
loop_
_atom_site_label
_atom_site_fract_x
_atom_site_fract_y
_atom_site_fract_z
Tc1 0.000 0.000 0.000
W1 0.000 0.500 0.000
Se1 0.250 0.250 0.500
```

Computed properties:
Offset from the most stable computed form in meV per atom: 749.4

=====

Record 14
Below is an optimized crystal structure of TcWSe, with properties calculated at the GGA-PBE level.

Structure (CIF):
```
data_TcWSe
_cell_length_a 3.000
_cell_length_b 3.000
_cell_length_c 10.202
_cell_angle_alpha 90.00
_cell_angle_beta 90.00
_cell_angle_gamma 90.00
_space_group_name_H-M_alt 'I 4 m m'
_space_group_IT_number 107
_space_group_name_Hall 'I 4 -2'
loop_
_atom_site_label
_atom_site_fract_x
_atom_site_fract_y
_atom_site_fract_z
Tc1 0.000 0.000 0.000
W1 0.000 0.000 0.325
Se1 0.000 0.000 0.661
```

Computed properties:
Offset from the most stable computed form in meV per atom: 0.0

=====

Record 15
Below is an optimized crystal structure of TcWSe2, with properties calculated at the GGA-PBE level.

Structure (CIF):
```
data_TcWSe2
_cell_length_a 8.048
_cell_length_b 3.058
_cell_length_c 5.337
_cell_angle_alpha 90.00
_cell_angle_beta 102.38
_cell_angle_gamma 90.00
_space_group_name_H-M_alt 'C 1 2/m 1'
_space_group_IT_number 12
loop_
_space_group_symop_operation_xyz
'x,y,z'
'-x,-y,-z'
'-x,y,-z'
'x,-y,z'
'x+1/2,y+1/2,z'
'-x+1/2,-y+1/2,-z'
'-x+1/2,y+1/2,-z'
'x+1/2,-y+1/2,z'
loop_
_atom_site_label
_atom_site_fract_x
_atom_site_fract_y
_atom_site_fract_z
Tc1 0.000 0.000 0.000
W1 0.000 0.500 0.500
Se1 0.248 0.000 0.750
```

Computed properties:
Offset from the most stable computed form in meV per atom: 423.1

=====

Record 16
Below is an optimized crystal structure of Tc2WSe, with properties calculated at the GGA-PBE level.

Structure (CIF):
```
data_Tc2WSe
_cell_length_a 2.983
_cell_length_b 2.983
_cell_length_c 6.799
_cell_angle_alpha 90.00
_cell_angle_beta 90.00
_cell_angle_gamma 90.00
_space_group_name_H-M_alt 'P 4 m m'
_space_group_IT_number 99
loop_
_space_group_symop_operation_xyz
'x,y,z'
'-y,x,z'
'-x,-y,z'
'y,-x,z'
'-x,y,z'
'y,x,z'
'x,-y,z'
'-y,-x,z'
loop_
_atom_site_label
_atom_site_fract_x
_atom_site_fract_y
_atom_site_fract_z
Tc1 0.000 0.000 0.000
Tc2 0.500 0.500 0.244
W1 0.000 0.000 0.510
Se1 0.500 0.500 0.749
```

=====

Record 17
Below is an optimized crystal structure of Tc2WSe, with properties calculated at the GGA-PBE level.

Structure (CIF):
```
data_Tc2WSe
_cell_length_a 2.8890
_cell_length_b 2.8890
_cell_length_c 25.7009
_cell_angle_alpha 90.00
_cell_angle_beta 90.00
_cell_angle_gamma 120.00
_space_group_name_H-M_alt 'R 3 m'
_space_group_IT_number 160
_space_group_name_Hall 'R 3 -2"'
loop_
_atom_site_label
_atom_site_fract_x
_atom_site_fract_y
_atom_site_fract_z
Tc1 0.0000 0.0000 0.0000
Tc2 0.0000 0.0000 0.2523
W1 0.0000 0.0000 0.4974
Se1 0.0000 0.0000 0.7513
```

=====

Record 18
Below is an optimized crystal structure of TcWSe2, with properties calculated at the GGA-PBE level.

Structure (CIF):
```
data_TcWSe2
_cell_length_a 2.631
_cell_length_b 4.271
_cell_length_c 6.180
_cell_angle_alpha 90.00
_cell_angle_beta 90.21
_cell_angle_gamma 90.00
_space_group_name_H-M_alt 'P 1 2/m 1'
_space_group_IT_number 10
loop_
_space_group_symop_operation_xyz
'x,y,z'
'-x,-y,-z'
'-x,y,-z'
'x,-y,z'
loop_
_atom_site_label
_atom_site_fract_x
_atom_site_fract_y
_atom_site_fract_z
Tc1 0.000 0.000 0.000
W1 0.000 0.000 0.500
Se1 0.076 0.500 0.246
```

Computed properties:
Offset from the most stable computed form in meV per atom: 790.9

=====

Record 19
Below is an optimized crystal structure of Tc2WSe, with properties calculated at the GGA-PBE level.

Structure (CIF):
```
data_Tc2WSe
_cell_length_a 3.007
_cell_length_b 4.438
_cell_length_c 4.577
_cell_angle_alpha 90.00
_cell_angle_beta 90.00
_cell_angle_gamma 90.00
_space_group_name_H-M_alt 'P m m m'
_space_group_IT_number 47
loop_
_space_group_symop_operation_xyz
'x,y,z'
'-x,-y,-z'
'-x,-y,z'
'x,y,-z'
'x,-y,-z'
'-x,y,z'
'-x,y,-z'
'x,-y,z'
loop_
_atom_site_label
_atom_site_fract_x
_atom_site_fract_y
_atom_site_fract_z
Tc1 0.000 0.000 0.000
Tc2 0.500 0.000 0.500
W1 0.000 0.500 0.500
Se1 0.500 0.500 0.000
```

=====

Record 20
Below is an optimized crystal structure of TcW2Se, with properties calculated at the GGA-PBE level.

Structure (CIF):
```
data_TcW2Se
_cell_length_a 2.905
_cell_length_b 4.320
_cell_length_c 5.168
_cell_angle_alpha 90.00
_cell_angle_beta 101.05
_cell_angle_gamma 90.00
_space_group_name_H-M_alt 'P 1 m 1'
_space_group_IT_number 6
loop_
_space_group_symop_operation_xyz
'x,y,z'
'x,-y,z'
loop_
_atom_site_label
_atom_site_fract_x
_atom_site_fract_y
_atom_site_fract_z
Tc1 0.000 0.000 0.000
W1 0.403 0.000 0.505
W2 0.654 0.500 0.258
Se1 0.939 0.500 0.760
```

=====

no.,formation energy without anion corrections (eV/atom)
1,0.234
2,0.622
3,0.569
4,0.237
5,0.419
6,0.498
7,0.322
8,0.350
9,0.314
10,0.550
11,-0.088
12,-0.321
13,0.658
14,0.186
15,0.332
16,0.142
17,0.269
18,0.700
19,0.379
20,0.384